Entry 1:
Here is ScCu2Sb at its PBEsol-relaxed geometry from the Alexandria database. Energies are from meta-GGA SCAN.

Lattice parameters (Å, degrees): 3.4610 3.4610 5.6790 90.00 90.00 90.00
Sites, in units of the cell vectors:
Cu1 0.0000 0.0000 0.7355
Cu2 0.0000 0.0000 0.2645
Sb1 0.5000 0.5000 0.0000
Sc1 0.5000 0.5000 0.5000

As for the formation energy from raw total energies: -177.1 meV per atom. As for the space group: P4/mmm (123). Its total magnetization is 0.00 μB per formula unit.

---

Entry 2:
Here is ScCu2Sb at its PBEsol-relaxed geometry from the Alexandria database. Energies are from meta-GGA SCAN.

Lattice parameters (Å, degrees): 3.1799 4.2239 5.2637 90.00 89.96 90.00
Sites, in units of the cell vectors:
Cu1 0.7499 0.0000 0.9980
Cu2 0.7495 0.5000 0.2225
Sb1 0.7506 0.0000 0.5037
Sc1 0.2500 0.5000 0.7758

As for the formation energy from raw total energies: -238.0 meV per atom. As for the space group: Pmm2 (25). Its total magnetization is 0.00 μB per formula unit.

---

Entry 3:
Here is ScCuSb3 at its PBEsol-relaxed geometry from the Alexandria database. Energies are from meta-GGA SCAN.

Lattice parameters (Å, degrees): 5.3248 5.3248 5.3248 90.00 90.00 90.00
Sites, in units of the cell vectors:
Sc1 0.0000 0.0000 0.0000
Sb1 0.0000 0.5000 0.0000
Sb2 0.0000 0.0000 0.5000
Sb3 0.5000 0.0000 0.0000
Cu1 0.5000 0.5000 0.5000

As for the formation energy from raw total energies: 632.6 meV per atom. As for the space group: Pm-3m (221). Its total magnetization is 0.00 μB per formula unit.

---

Entry 4:
Here is Cu2SbSe at its PBEsol-relaxed geometry from the Alexandria database. Energies are from meta-GGA SCAN.

Lattice parameters (Å, degrees): 4.6397 4.6397 4.6397 60.00 60.00 60.00
Sites, in units of the cell vectors:
Cu1 0.0000 0.0000 0.0000
Cu2 0.7500 0.7500 0.7500
Sb1 0.5000 0.5000 0.5000
Se1 0.2500 0.2500 0.2500

As for the formation energy from raw total energies: 616.2 meV per atom. As for the space group: F-43m (216). Its total magnetization is 0.00 μB per formula unit.